Density functional theory data (GGA+U) for crystalline V2TeF at its relaxed geometry.

Calculated total energy   -0.199 Ha/atom
Energy above the most stable polymorph in this dataset   0.00 eV per formula unit

a = 7.5007 Å, b = 7.5007 Å, c = 7.5007 Å
α = 139.34°, β = 139.34°, γ = 58.86°
Fractional positions:
V 0.0085 0.6250 0.8835
V 0.3750 0.2585 0.3835
V 0.7415 0.1250 0.1165
V 0.8750 0.9915 0.6165
Te 0.2500 0.7500 0.5000
Te 0.5000 0.5000 0.0000
F 0.0000 0.0000 0.0000
F 0.7500 0.2500 0.5000